No. 1
An optimized crystal structure of PuTi2Tl. Source: Alexandria, functional PBE.

As for the total energy: -7.97 eV/atom.

It has space group P4/mmm (No. 123), with a = 3.3698 Å, b = 3.3698 Å, c = 7.0373 Å, α = 90.00°, β = 90.00° and γ = 90.00°. The distinct sites, in fractional coordinates, are Pu at (0.0000, 0.0000, 0.0000), Ti at (0.5000, 0.5000, 0.2395) and Tl at (0.0000, 0.0000, 0.5000).

No. 2
An optimized crystal structure of InIr2W. Source: Alexandria, functional PBE.

As for the total energy: -8.24 eV/atom.

It has space group Imm2 (No. 44), with a = 2.8387 Å, b = 4.1361 Å, c = 12.2685 Å, α = 90.00°, β = 90.00° and γ = 90.00°. The distinct sites, in fractional coordinates, are In at (0.0000, 0.0000, 0.0000), Ir at (0.0000, 0.0000, 0.5870), Ir at (0.0000, 0.5000, 0.8430) and W at (0.0000, 0.5000, 0.2626).

No. 3
An optimized crystal structure of Hf2TePPt. Source: Alexandria, functional PBE.

As for the total energy: -7.19 eV/atom. The energy relative to the elements, uncorrected is -0.292 eV per atom.

It has space group P4/mmm (No. 123), with a = 4.9476 Å, b = 4.9476 Å, c = 4.4012 Å, α = 90.00°, β = 90.00° and γ = 90.00°. The distinct sites, in fractional coordinates, are Hf at (0.0000, 0.5000, 0.0000), Te at (0.0000, 0.0000, 0.5000), P at (0.5000, 0.5000, 0.0000) and Pt at (0.5000, 0.5000, 0.5000).

No. 4
An optimized crystal structure of KPm2TeSe4. Source: Alexandria, functional PBE.

As for the total energy: -4.68 eV/atom. The energy relative to the elements, uncorrected is -1.223 eV per atom.

It has space group Cmcm (No. 63), with a = 4.3667 Å, b = 14.8748 Å, c = 15.6159 Å, α = 90.00°, β = 90.00° and γ = 90.00°. The distinct sites, in fractional coordinates, are K at (0.0000, 0.1650, 0.2500), Pm at (0.0000, 0.3688, 0.0565), Te at (0.0000, 0.0943, 0.7500), Se at (0.0000, 0.0000, 0.0000), Se at (0.0000, 0.2659, 0.5968) and Se at (0.0000, 0.4987, 0.2500).

No. 5
An optimized crystal structure of InIBr4. Source: Alexandria, functional PBE.

As for the total energy: -2.38 eV/atom. The energy relative to the elements, uncorrected is -0.546 eV per atom.

It has space group C2/c (No. 15), with a = 8.1952 Å, b = 19.0912 Å, c = 6.9145 Å, α = 90.00°, β = 94.99° and γ = 90.00°. The distinct sites, in fractional coordinates, are In at (0.0000, 0.0506, 0.2500), I at (0.0000, 0.3492, 0.7500), Br at (0.1796, 0.1575, 0.1071) and Br at (0.1918, 0.0474, 0.5911).

No. 6
An optimized crystal structure of TcGeN. Source: Alexandria, functional PBE.

As for the total energy: -7.71 eV/atom. The energy relative to the elements, uncorrected is 0.063 eV per atom.

It has space group P1 (No. 1), with a = 2.8712 Å, b = 5.0923 Å, c = 5.6147 Å, α = 75.57°, β = 75.90° and γ = 85.79°. The distinct sites, in fractional coordinates, are Tc at (0.0000, 0.0000, 0.0000), Tc at (0.3729, 0.7020, 0.3999), Ge at (0.6066, 0.4987, 0.0103), Ge at (0.7596, 0.2505, 0.5788), N at (0.1824, 0.6939, 0.8005) and N at (0.8528, 0.9934, 0.3695).

No. 7
An optimized crystal structure of LaDy5Bi4. Source: Alexandria, functional PBE.

As for the total energy: -4.92 eV/atom.

It has space group C2/m (No. 12), with a = 20.0909 Å, b = 4.4521 Å, c = 7.8427 Å, α = 90.00°, β = 101.94° and γ = 90.00°. The distinct sites, in fractional coordinates, are La at (0.0000, 0.0000, 0.0000), Dy at (0.0000, 0.0000, 0.5000), Dy at (0.1885, 0.5000, 0.0857), Dy at (0.1956, 0.5000, 0.6106), Bi at (0.0650, 0.5000, 0.7710) and Bi at (0.1379, 0.0000, 0.3289).

No. 8
An optimized crystal structure of ZrAsBr2. Source: Alexandria, functional PBE.

As for the total energy: -4.63 eV/atom. The energy relative to the elements, uncorrected is -0.495 eV per atom.

It has space group Imm2 (No. 44), with a = 3.2826 Å, b = 5.2684 Å, c = 14.4802 Å, α = 90.00°, β = 90.00° and γ = 90.00°. The distinct sites, in fractional coordinates, are Zr at (0.0000, 0.0000, 0.0000), As at (0.0000, 0.5000, 0.6529), Br at (0.0000, 0.0000, 0.5224) and Br at (0.0000, 0.5000, 0.3515).

No. 9
An optimized crystal structure of BeCdTc. Source: Alexandria, functional PBE.

As for the total energy: -4.44 eV/atom.

It has space group F-43m (No. 216), with a = 5.6915 Å, b = 5.6915 Å, c = 5.6915 Å, α = 90.00°, β = 90.00° and γ = 90.00°. The distinct sites, in fractional coordinates, are Be at (0.0000, 0.0000, 0.0000), Cd at (0.2500, 0.2500, 0.2500) and Tc at (0.2500, 0.2500, 0.7500).

No. 10
An optimized crystal structure of Ba4RuRh. Source: Alexandria, functional PBE.

As for the total energy: -2.78 eV/atom.

It has space group F-43m (No. 216), with a = 9.5124 Å, b = 9.5124 Å, c = 9.5124 Å, α = 90.00°, β = 90.00° and γ = 90.00°. The distinct sites, in fractional coordinates, are Ba at (0.1249, 0.1249, 0.1249), Ru at (0.0000, 0.0000, 0.5000) and Rh at (0.2500, 0.2500, 0.7500).

No. 11
An optimized crystal structure of TaNiC2. Source: Alexandria, functional PBE.

As for the total energy: -8.47 eV/atom.

It has space group I-42d (No. 122), with a = 4.5217 Å, b = 4.5217 Å, c = 9.5606 Å, α = 90.00°, β = 90.00° and γ = 90.00°. The distinct sites, in fractional coordinates, are Ta at (0.0000, 0.0000, 0.0000), Ni at (0.0000, 0.0000, 0.5000) and C at (0.2233, 0.2500, 0.6250).

No. 12
An optimized crystal structure of Nd2SbS6. Source: Alexandria, functional PBE.

As for the total energy: -5.16 eV/atom. The energy relative to the elements, uncorrected is -0.895 eV per atom.

It has space group P4_2/mnm (No. 136), with a = 6.3506 Å, b = 6.3506 Å, c = 12.4694 Å, α = 90.00°, β = 90.00° and γ = 90.00°. The distinct sites, in fractional coordinates, are Nd at (0.0000, 0.0000, 0.1654), Sb at (0.0000, 0.0000, 0.5000), S at (0.1860, 0.1860, 0.3493) and S at (0.2160, 0.2160, 0.0000).

no.,Fermi-level density of states (states/eV per atom)
1,1.4544
2,0.6186
3,0.9299
4,0.1545
5,0.0000
6,0.4913
7,0.7389
8,0.9753
9,0.4646
10,2.0925
11,0.6279
12,0.7529